# 1
DFT (GGA-PBE) results for an optimized crystal structure of Rb2Tl4In3.

Cell: 6.5361 6.5361 8.9308 Å, 100.30 100.30 120.75°
Fractional positions:
In1 0.5000 0.0000 0.0000
In2 0.0000 0.5000 0.0000
In3 0.0000 0.0000 0.0000
Tl1 0.9989 0.3338 0.3327
Tl2 0.0011 0.6662 0.6673
Tl3 0.6662 0.0011 0.6673
Tl4 0.3338 0.9989 0.3327
Rb1 0.6338 0.6338 0.2676
Rb2 0.3662 0.3662 0.7324

## Properties
magnetic moment = 0.00 μB per cell
calculated total energy = -2.239 eV/atom
density of states at the Fermi level = 4.65 states/eV per cell
ΔE_f = -0.0598 eV per atom
relative energy among the computed polymorphs = 0.00 eV per formula unit
space-group type = No. 69

=====

# 2
DFT (GGA-PBE) results for an optimized crystal structure of RbTl4In.

Cell: 4.9240 9.0532 9.4472 Å, 90.00 90.00 90.00°
Fractional positions:
Tl1 0.5000 0.0550 0.2500
Tl2 0.5000 0.2996 0.5547
Tl3 0.0000 0.0000 0.0000
Tl4 0.5000 0.7004 0.0547
Tl5 0.5000 0.2996 0.9453
Tl6 0.5000 0.9450 0.7500
Tl7 0.0000 0.0000 0.5000
Tl8 0.5000 0.7004 0.4453
Rb1 0.0000 0.3764 0.2500
Rb2 0.0000 0.6236 0.7500
In1 0.0000 0.2169 0.7500
In2 0.0000 0.7831 0.2500

## Properties
magnetic moment = 0.00 μB per cell
calculated total energy = -2.250 eV/atom
density of states at the Fermi level = 5.51 states/eV per cell
ΔE_f = -0.0553 eV per atom
relative energy among the computed polymorphs = 0.00 eV per formula unit
space-group type = No. 51